Entry 1:
VASP calculation (PBE) on a relaxed structure of CoPtI.

Output
* VASP energy: -4.76 eV/atom
* ΔE_f (raw): 0.139 eV/atom

Cell: 3.8581 3.8712 9.2250 Å, 90.00 101.54 90.00°
Space group Pm (No. 6)
Asymmetric unit:
Co 0.0000 0.0000 0.0000
Co 0.4168 0.0000 0.8259
Pt 0.5118 0.5000 0.0244
Pt 0.9124 0.5000 0.8116
I 0.1121 0.5000 0.2363
I 0.7837 0.0000 0.5852

Entry 2:
VASP calculation (PBE) on a relaxed structure of CoPt2I.

Output
* VASP energy: -4.49 eV/atom
* ΔE_f (raw): 0.698 eV/atom

Cell: 6.5072 6.5072 6.5072 Å, 90.00 90.00 90.00°
Space group Fm-3m (No. 225)
Asymmetric unit:
Co 0.0000 0.0000 0.0000
Pt 0.2500 0.2500 0.2500
I 0.0000 0.0000 0.5000

Listing energy relative to the lowest polymorph listed for this composition for the structures above in their given order: 0; 152 meV/atom.